Record 1
{"formula": "LaTaTc2", "functional": "PBE", "state": "optimized geometry", "lattice_angstrom": [[3.259, 0.000, 0.000], [0.000, 5.173, 0.000], [0.000, 0.000, 4.459]], "species": ["Tc", "Tc", "Ta", "La"], "fractional_positions": [[0.500, 0.500, 0.000], [0.000, 0.000, 0.000], [0.000, 0.500, 0.500], [0.500, 0.000, 0.500]], "n_ef_per_ev_cell": 5.16}

***

Record 2
{"formula": "LaTa2Tc", "functional": "PBE", "state": "optimized geometry", "lattice_angstrom": [[2.975, -0.010, 0.000], [-1.205, 2.720, 0.000], [0.000, 0.000, 9.994]], "species": ["La", "Ta", "Ta", "Tc"], "fractional_positions": [[0.500, 0.500, 0.750], [0.000, 0.000, 0.044], [0.000, 0.000, 0.456], [0.500, 0.500, 0.250]], "de_polymorph_ev_per_atom": 0.0986, "n_ef_per_ev_cell": 3.13}

***

Record 3
{"formula": "La3TaTc", "functional": "PBE", "state": "optimized geometry", "lattice_angstrom": [[5.363, 0.000, 0.000], [0.000, 5.363, 0.000], [0.000, 0.000, 5.363]], "species": ["Ta", "La", "La", "La", "Tc"], "fractional_positions": [[0.500, 0.500, 0.500], [0.500, 0.000, 0.000], [0.000, 0.500, 0.000], [0.000, 0.000, 0.500], [0.000, 0.000, 0.000]], "de_polymorph_ev_per_atom": 0.0000, "n_ef_per_ev_cell": 14.41}

***

Record 4
{"formula": "LaTa2Tc", "functional": "PBE", "state": "optimized geometry", "lattice_angstrom": [[5.675, 0.017, 0.012], [4.763, 3.086, 0.012], [1.930, 0.574, 4.775]], "species": ["Ta", "Ta", "Tc", "La"], "fractional_positions": [[0.468, 0.468, 0.549], [0.032, 0.032, 0.951], [0.750, 0.750, 0.750], [0.250, 0.250, 0.250]], "de_polymorph_ev_per_atom": 0.1841, "n_ef_per_ev_cell": 4.09}

***

Record 5
{"formula": "LaTaTc2", "functional": "PBE", "state": "optimized geometry", "lattice_angstrom": [[-1.316, 0.549, -5.607], [3.681, -1.796, -4.086], [-3.262, -1.327, 4.590]], "species": ["La", "Tc", "Tc", "Ta"], "fractional_positions": [[0.511, 0.511, 0.000], [0.767, 0.267, 0.500], [0.981, 0.981, 0.000], [0.241, 0.741, 0.500]], "n_ef_per_ev_cell": 2.82}

***

Record 6
{"formula": "LaTa2Tc", "functional": "PBE", "state": "optimized geometry", "lattice_angstrom": [[-3.674, -0.821, -3.398], [3.392, -2.031, -3.176], [-1.602, -9.318, 0.199]], "species": ["Tc", "Tc", "Ta", "Ta", "Ta", "Ta", "La", "La"], "fractional_positions": [[0.500, 0.500, 0.000], [0.250, 0.750, 0.500], [0.375, 0.625, 0.250], [0.375, 0.125, 0.250], [0.375, 0.625, 0.750], [0.875, 0.625, 0.750], [0.000, 0.000, 0.000], [0.750, 0.250, 0.500]], "de_polymorph_ev_per_atom": 0.9074, "n_ef_per_ev_cell": 14.48}

***

Record 7
{"formula": "LaTaTc2", "functional": "PBE", "state": "optimized geometry", "lattice_angstrom": [[-0.828, 2.202, 2.075], [-2.599, 0.583, -1.655], [-3.968, -5.530, 4.285]], "species": ["Ta", "La", "Tc", "Tc"], "fractional_positions": [[0.500, 0.500, 0.809], [0.000, 0.000, 0.488], [0.000, 0.000, 0.016], [0.500, 0.500, 0.187]], "n_ef_per_ev_cell": 4.72}

***

Record 8
{"formula": "LaTa2Tc", "functional": "PBE", "state": "optimized geometry", "lattice_angstrom": [[-4.454, 2.989, 0.098], [-3.723, 2.381, -3.041], [-4.309, -3.489, -0.327]], "species": ["Ta", "Ta", "La", "Tc"], "fractional_positions": [[0.768, 0.768, 0.734], [0.023, 0.023, 0.916], [0.235, 0.235, 0.256], [0.475, 0.475, 0.594]], "de_polymorph_ev_per_atom": 0.2196, "n_ef_per_ev_cell": 4.79}

***

Record 9
{"formula": "LaTa2Tc", "functional": "PBE", "state": "optimized geometry", "lattice_angstrom": [[0.000, 3.369, 3.369], [3.369, 0.000, 3.369], [3.369, 3.369, 0.000]], "species": ["Ta", "Ta", "La", "Tc"], "fractional_positions": [[0.250, 0.250, 0.250], [0.750, 0.750, 0.750], [0.500, 0.500, 0.500], [0.000, 0.000, 0.000]], "de_polymorph_ev_per_atom": 0.2480, "n_ef_per_ev_cell": 5.93}

***

Record 10
{"formula": "LaTaTc2", "functional": "PBE", "state": "optimized geometry", "lattice_angstrom": [[2.981, 0.004, 0.000], [-1.189, 2.734, 0.000], [0.000, 0.000, 9.095]], "species": ["Tc", "Tc", "La", "Ta"], "fractional_positions": [[0.000, 0.000, 0.524], [0.000, 0.000, 0.976], [0.500, 0.500, 0.250], [0.500, 0.500, 0.750]], "n_ef_per_ev_cell": 3.62}

***

Record 11
{"formula": "La2TaTc", "functional": "PBE", "state": "optimized geometry", "lattice_angstrom": [[-2.153, -2.094, -0.978], [2.466, 0.302, -1.950], [5.116, -7.724, 5.274]], "species": ["La", "La", "Ta", "Tc"], "fractional_positions": [[0.000, 0.000, 0.945], [0.500, 0.500, 0.287], [0.000, 0.000, 0.547], [0.500, 0.500, 0.721]], "de_polymorph_ev_per_atom": 0.2270, "n_ef_per_ev_cell": 5.03}

***

Record 12
{"formula": "La2Ta2Tc", "functional": "PBE", "state": "optimized geometry", "lattice_angstrom": [[-0.928, -2.428, 6.162], [-4.142, -4.643, -2.453], [4.226, -3.399, -0.703]], "species": ["Ta", "Ta", "Ta", "Ta", "La", "La", "La", "La", "Tc", "Tc"], "fractional_positions": [[0.352, 0.852, 0.000], [0.648, 0.148, 0.000], [0.148, 0.352, 0.000], [0.852, 0.648, 0.000], [0.170, 0.670, 0.500], [0.830, 0.330, 0.500], [0.670, 0.830, 0.500], [0.330, 0.170, 0.500], [0.000, 0.000, 0.000], [0.500, 0.500, 0.000]], "de_polymorph_ev_per_atom": 0.0000, "n_ef_per_ev_cell": 8.63}

***

Record 13
{"formula": "La2TaTc", "functional": "PBE", "state": "optimized geometry", "lattice_angstrom": [[5.411, 0.000, 0.000], [0.000, 4.091, 0.000], [0.000, 0.000, 4.091]], "species": ["Tc", "La", "La", "Ta"], "fractional_positions": [[0.500, 0.000, 0.500], [0.000, 0.500, 0.500], [0.000, 0.000, 0.000], [0.500, 0.500, 0.000]], "de_polymorph_ev_per_atom": 0.5200, "n_ef_per_ev_cell": 4.32}

***

Record 14
{"formula": "LaTaTc2", "functional": "PBE", "state": "optimized geometry", "lattice_angstrom": [[4.689, 0.000, 0.000], [2.345, 4.061, 0.000], [2.345, 1.354, 3.829]], "species": ["Ta", "Tc", "Tc", "La"], "fractional_positions": [[0.750, 0.750, 0.750], [0.000, 0.000, 0.000], [0.250, 0.250, 0.250], [0.500, 0.500, 0.500]], "n_ef_per_ev_cell": 5.65}

***

Record 15
{"formula": "LaTaTc2", "functional": "PBE", "state": "optimized geometry", "lattice_angstrom": [[-0.008, 2.840, -0.716], [-2.610, -0.981, 0.898], [2.252, 2.284, 9.038]], "species": ["La", "Ta", "Tc", "Tc"], "fractional_positions": [[0.000, 0.000, 0.483], [0.500, 0.500, 0.792], [0.000, 0.000, 0.005], [0.500, 0.500, 0.220]], "n_ef_per_ev_cell": 3.92}

***

Record 16
{"formula": "LaTaTc2", "functional": "PBE", "state": "optimized geometry", "lattice_angstrom": [[5.709, -0.005, -0.014], [-2.720, 4.630, 0.005], [0.268, 0.952, 2.809]], "species": ["Tc", "Tc", "La", "Ta"], "fractional_positions": [[0.000, 0.000, 0.000], [0.500, 0.000, 0.500], [0.000, 0.500, 0.500], [0.500, 0.500, 0.000]], "n_ef_per_ev_cell": 3.87}

***

Record 17
{"formula": "La2TaTc", "functional": "PBE", "state": "optimized geometry", "lattice_angstrom": [[-0.141, -4.270, 3.743], [-0.936, -1.393, -5.631], [2.753, -1.336, -0.817]], "species": ["Tc", "La", "La", "Ta"], "fractional_positions": [[0.500, 0.500, 0.000], [0.500, 0.000, 0.500], [0.000, 0.000, 0.000], [0.000, 0.500, 0.500]], "de_polymorph_ev_per_atom": 0.5560, "n_ef_per_ev_cell": 6.02}

***

Record 18
{"formula": "La2TaTc", "functional": "PBE", "state": "optimized geometry", "lattice_angstrom": [[-1.250, 2.291, 1.801], [0.705, -2.682, 1.539], [9.146, 3.494, 1.901]], "species": ["Ta", "Tc", "La", "La"], "fractional_positions": [[0.500, 0.500, 0.250], [0.500, 0.500, 0.750], [0.000, 0.000, 0.523], [0.000, 0.000, 0.977]], "de_polymorph_ev_per_atom": 0.5055, "n_ef_per_ev_cell": 5.18}

***

Record 19
{"formula": "LaTa2Tc", "functional": "PBE", "state": "optimized geometry", "lattice_angstrom": [[4.879, 0.000, 0.000], [0.000, 4.879, 0.000], [0.000, 0.000, 3.228]], "species": ["Tc", "Ta", "Ta", "La"], "fractional_positions": [[0.500, 0.000, 0.500], [0.000, 0.000, 0.000], [0.500, 0.500, 0.000], [0.000, 0.500, 0.500]], "de_polymorph_ev_per_atom": 0.3698, "n_ef_per_ev_cell": 2.23}

***

Record 20
{"formula": "LaTaTc2", "functional": "PBE", "state": "optimized geometry", "lattice_angstrom": [[5.782, 0.008, 0.000], [3.170, 4.835, 0.000], [-4.476, -2.422, 2.744]], "species": ["Ta", "Tc", "Tc", "La"], "fractional_positions": [[0.750, 0.250, 0.500], [0.250, 0.750, 0.500], [0.000, 0.000, 0.000], [0.500, 0.500, 0.000]], "n_ef_per_ev_cell": 4.84}

***

Record 21
{"formula": "La2TaTc", "functional": "PBE", "state": "optimized geometry", "lattice_angstrom": [[6.270, -0.003, 0.035], [5.268, 3.399, 0.035], [2.222, 0.654, 4.793]], "species": ["Tc", "La", "La", "Ta"], "fractional_positions": [[0.784, 0.784, 0.716], [0.245, 0.245, 0.254], [0.024, 0.024, 0.977], [0.447, 0.447, 0.553]], "de_polymorph_ev_per_atom": 0.1110, "n_ef_per_ev_cell": 3.13}

***

Record 22
{"formula": "La4TaTc", "functional": "PBE", "state": "optimized geometry", "lattice_angstrom": [[0.000, 4.356, 4.356], [4.356, 0.000, 4.356], [4.356, 4.356, 0.000]], "species": ["La", "La", "La", "La", "Tc", "Ta"], "fractional_positions": [[0.374, 0.374, 0.877], [0.374, 0.374, 0.374], [0.877, 0.374, 0.374], [0.374, 0.877, 0.374], [0.000, 0.000, 0.000], [0.750, 0.750, 0.750]], "n_ef_per_ev_cell": 9.09}

***

Record 23
{"formula": "LaTa2Tc", "functional": "PBE", "state": "optimized geometry", "lattice_angstrom": [[-8.597, 4.798, 0.260], [-8.823, 3.532, -2.585], [-9.667, 1.883, -0.072]], "species": ["La", "Ta", "Ta", "Tc"], "fractional_positions": [[0.755, 0.755, 0.755], [0.244, 0.244, 0.244], [0.989, 0.989, 0.989], [0.511, 0.511, 0.511]], "de_polymorph_ev_per_atom": 0.2300, "n_ef_per_ev_cell": 4.65}

***

Record 24
{"formula": "LaTa2Tc", "functional": "PBE", "state": "optimized geometry", "lattice_angstrom": [[-2.865, 0.791, -3.785], [0.409, -2.733, -3.940], [-3.456, -3.162, -1.105]], "species": ["Tc", "Ta", "Ta", "La"], "fractional_positions": [[0.750, 0.750, 0.750], [0.000, 0.000, 0.000], [0.250, 0.250, 0.250], [0.500, 0.500, 0.500]], "de_polymorph_ev_per_atom": 0.2339, "n_ef_per_ev_cell": 5.00}

***

Record 25
{"formula": "La2Ta2Tc", "functional": "PBE", "state": "optimized geometry", "lattice_angstrom": [[3.893, 0.000, 0.000], [0.000, 3.893, 0.000], [1.946, 1.946, 7.796]], "species": ["Ta", "Ta", "La", "La", "Tc"], "fractional_positions": [[0.424, 0.424, 0.151], [0.576, 0.576, 0.849], [0.250, 0.750, 0.500], [0.750, 0.250, 0.500], [0.000, 0.000, 0.000]], "de_polymorph_ev_per_atom": 0.9723, "n_ef_per_ev_cell": 6.76}

***

Record 26
{"formula": "La2TaTc", "functional": "PBE", "state": "optimized geometry", "lattice_angstrom": [[-0.866, -1.696, 4.783], [-0.436, 3.354, 3.882], [-4.578, 0.786, 2.221]], "species": ["La", "La", "Ta", "Tc"], "fractional_positions": [[0.750, 0.750, 0.750], [0.250, 0.250, 0.250], [0.500, 0.500, 0.500], [0.000, 0.000, 0.000]], "de_polymorph_ev_per_atom": 0.6204, "n_ef_per_ev_cell": 7.02}

***

Record 27
{"formula": "La2TaTc", "functional": "PBE", "state": "optimized geometry", "lattice_angstrom": [[3.339, 0.000, 0.000], [0.000, 3.339, 0.000], [0.000, 0.000, 9.110]], "species": ["La", "La", "Tc", "Ta"], "fractional_positions": [[0.000, 0.000, 0.931], [0.500, 0.500, 0.303], [0.500, 0.500, 0.704], [0.000, 0.000, 0.562]], "de_polymorph_ev_per_atom": 0.0000, "n_ef_per_ev_cell": 6.01}

***

Record 28
{"formula": "LaTa4Tc", "functional": "PBE", "state": "optimized geometry", "lattice_angstrom": [[4.395, -1.902, 2.868], [-0.755, -3.587, 4.210], [1.599, -5.321, -0.546]], "species": ["Ta", "Ta", "Ta", "Ta", "Tc", "La"], "fractional_positions": [[0.875, 0.375, 0.375], [0.375, 0.375, 0.875], [0.375, 0.375, 0.375], [0.375, 0.875, 0.375], [0.750, 0.750, 0.750], [0.000, 0.000, 0.000]], "n_ef_per_ev_cell": 6.68}

***

Record 29
{"formula": "LaTaTc2", "functional": "PBE", "state": "optimized geometry", "lattice_angstrom": [[-2.257, -3.621, -1.278], [-0.134, -2.726, -3.520], [3.922, -4.255, 2.016]], "species": ["La", "Ta", "Tc", "Tc"], "fractional_positions": [[0.750, 0.750, 0.750], [0.250, 0.250, 0.250], [0.516, 0.516, 0.442], [0.984, 0.984, 0.058]], "n_ef_per_ev_cell": 3.11}

***

Record 30
{"formula": "LaTaTi2Tc", "functional": "PBE", "state": "optimized geometry", "lattice_angstrom": [[4.620, 0.000, 0.000], [0.000, 4.955, 0.000], [0.000, 0.000, 4.620]], "species": ["Ta", "Ti", "Ti", "La", "Tc"], "fractional_positions": [[0.000, 0.500, 0.000], [0.500, 0.000, 0.000], [0.000, 0.000, 0.500], [0.000, 0.000, 0.000], [0.500, 0.500, 0.500]], "n_ef_per_ev_cell": 7.85}

***

Let's list formation energy in order: 486, 241, 767, 326, 330, 1050, 263, 362, 390, 178, 289, 281, 582, 387, 393, 383, 618, 567, 512, 521, 173, 1174, 372, 376, 1254, 682, 62, 464, 247, 1896 meV/atom.